This record from the Alexandria database describes Sm2MnAs4Rh3 after structural relaxation. The functional is PBE-GGA.

abc: 4.267 4.267 10.124
angles: 90.00 90.00 90.00
Each line ends with the local moment (μB).
Fractional positions:
As (0.000, 0.500, 0.364)  -0.05
As (0.500, 0.000, 0.636)  -0.05
As (0.500, 0.500, 0.000)  0.00
As (0.000, 0.000, 0.000)  0.00
Rh (0.500, 0.000, 0.878)  -0.04
Rh (0.000, 0.500, 0.122)  -0.04
Rh (0.000, 0.000, 0.500)  0.06
Mn (0.500, 0.500, 0.500)  3.29
Sm (0.500, 0.000, 0.244)  0.01
Sm (0.000, 0.500, 0.756)  0.01

## Properties
The density of states at the Fermi level comes out at 5.744 states/eV/cell. The calculation puts the total energy at -6.758 eV/atom. The calculation puts the formation energy at -832 meV per atom.